Entry 1:
5
Lattice="5.068 0.000 0.000 0.000 5.068 0.000 0.000 0.000 5.068" Properties=species:S:1:pos:R:3 comment="PBE-GGA Pu4Be, optimized geometry" delta_e_f_ev_per_atom=0.74 mass_density_g_cm3=12.57 spacegroup="No. 221" pbc="T T T"
Pu 0.000 0.000 0.000
Pu 0.000 2.534 2.534
Pu 2.534 0.000 2.534
Pu 2.534 2.534 0.000
Be 2.534 2.534 2.534


Entry 2:
4
Lattice="-1.593 1.636 9.489 1.593 -1.636 9.489 1.593 1.636 -9.489" Properties=species:S:1:pos:R:3 comment="PBE-GGA HgSb2Ru, optimized geometry" total_energy_ev_per_atom=-4.395 mass_density_g_cm3=9.15 spacegroup="No. 44" pbc="T T T"
Hg 0.000 0.000 0.000
Sb 0.000 0.000 6.651
Sb 0.000 1.636 3.035
Ru 1.593 0.000 4.495


Entry 3:
8
Lattice="-2.391 2.391 7.812 2.391 -2.391 7.812 2.391 2.391 -7.812" Properties=species:S:1:pos:R:3 comment="PBE-GGA Si2TcPb, optimized geometry" total_energy_ev_per_atom=-5.795 mass_density_g_cm3=6.72 spacegroup="No. 122" pbc="T T T"
Si 0.512 1.195 1.953
Si -1.195 1.879 5.859
Si -0.512 3.586 1.953
Si 1.195 2.902 5.859
Tc 0.000 0.000 0.000
Tc 0.000 2.391 3.906
Pb 2.391 0.000 3.906
Pb 0.000 0.000 7.812


Entry 4:
4
Lattice="4.533 0.000 0.000 0.000 2.180 5.675 0.000 -2.180 5.675" Properties=species:S:1:pos:R:3 comment="PBE-GGA Sr2RhAu, optimized geometry" delta_e_f_ev_per_atom=-0.47 mass_density_g_cm3=7.03 spacegroup="No. 38" pbc="T T T"
Sr 0.000 0.000 0.000
Sr 2.266 0.000 3.201
Rh 0.000 0.000 8.067
Au 2.266 0.000 6.495


Entry 5:
4
Lattice="4.056 0.000 0.000 0.000 2.215 5.487 0.000 -2.215 5.487" Properties=species:S:1:pos:R:3 comment="PBE-GGA CeSmGe2, optimized geometry" delta_e_f_ev_per_atom=-0.78 mass_density_g_cm3=7.34 spacegroup="No. 38" pbc="T T T"
Ce 0.000 0.000 0.000
Sm 2.028 0.000 7.957
Ge 0.000 0.000 3.069
Ge 2.028 0.000 4.885


Entry 6:
4
Lattice="2.227 1.286 8.235 -2.227 1.286 8.235 0.000 -2.571 8.235" Properties=species:S:1:pos:R:3 comment="PBE-GGA Ac2HgAs, optimized geometry" polymorph_energy_mev_per_atom=0.0 delta_e_f_ev_per_atom=-0.89 mass_density_g_cm3=8.56 spacegroup="No. 166" pbc="T T T"
Ac 0.000 0.000 5.954
Ac 0.000 0.000 18.751
Hg 0.000 0.000 0.000
As 0.000 0.000 12.352


Entry 7:
6
Lattice="4.606 0.000 0.000 0.000 4.606 0.000 0.000 0.000 8.983" Properties=species:S:1:pos:R:3 comment="PBE-GGA BaPuPd, optimized geometry" polymorph_energy_mev_per_atom=0.0 delta_e_f_ev_per_atom=-0.28 mass_density_g_cm3=8.50 spacegroup="No. 129" pbc="T T T"
Ba 1.152 1.152 1.338
Ba 3.455 3.455 7.644
Pu 1.152 3.455 4.491
Pu 3.455 1.152 4.491
Pd 1.152 1.152 6.460
Pd 3.455 3.455 2.522


Entry 8:
6
Lattice="2.646 1.528 9.006 -2.646 1.528 9.006 0.000 -3.055 9.006" Properties=species:S:1:pos:R:3 comment="PBE-GGA CaCeBi, optimized geometry" polymorph_energy_mev_per_atom=235.2 delta_e_f_ev_per_atom=-0.40 mass_density_g_cm3=5.92 spacegroup="No. 166" pbc="T T T"
Ca 0.000 0.000 3.334
Ca 0.000 0.000 23.683
Ce 0.000 0.000 9.930
Ce 0.000 0.000 17.087
Bi 0.000 0.000 6.616
Bi 0.000 0.000 20.401